[1]
GGA-PBE Pm3YHo2Er6, optimized geometry; E_tot = -4.750 eV/atom; formation enthalpy at 0 K = 0.02 eV per atom; symmetry = C2/m (12); total moment = 0.0 μB per cell; mass density = 8.132 Mg/m³
1.0
6.155 0.002 -0.003
-3.075 5.332 -0.003
-1.017 -1.761 11.556
Er Pm Ho Y
6 3 2 1
direct
0.748 0.748 0.247
0.416 0.082 0.247
0.584 0.918 0.753
0.252 0.252 0.753
0.918 0.584 0.753
0.082 0.416 0.247
0.167 0.833 0.500
0.833 0.167 0.500
0.500 0.500 0.500
0.667 0.333 0.000
0.333 0.667 0.000
0.000 0.000 0.000


[2]
GGA-PBE TbCe2Zn2Ge2, optimized geometry; E_tot = -4.462 eV/atom; formation enthalpy at 0 K = -0.42 eV per atom; symmetry = R-3m (166); total moment = 1.8 μB per cell; mass density = 8.068 Mg/m³
1.0
4.300 0.000 0.000
2.150 3.724 0.000
2.150 1.241 9.192
Ge Zn Ce Tb
2 2 2 1
direct
0.734 0.734 0.798
0.266 0.266 0.202
0.405 0.405 0.784
0.595 0.595 0.216
0.858 0.858 0.425
0.142 0.142 0.575
0.000 0.000 0.000


[3]
GGA-PBE ZnAu2Se, optimized geometry; formation energy from raw total energies = 0.10 eV/atom; E_tot = -2.729 eV/atom; symmetry = R3m (160); total moment = 0.0 μB per cell; mass density = 11.730 Mg/m³
1.0
9.493 0.003 0.002
8.996 3.034 0.002
8.996 1.477 2.650
Zn Se Au
1 1 2
direct
0.748 0.748 0.748
0.484 0.484 0.484
0.010 0.010 0.010
0.259 0.259 0.259


[4]
GGA-PBE Tm2GaTc, optimized geometry; E_tot = -5.401 eV/atom; formation enthalpy at 0 K = 0.18 eV per atom; symmetry = R-3m (166); total moment = 0.0 μB per cell; mass density = 8.483 Mg/m³
1.0
3.373 0.000 0.000
1.687 2.921 0.000
1.687 0.974 10.042
Tm Ga Tc
2 1 1
direct
0.900 0.900 0.301
0.100 0.100 0.699
0.000 0.000 0.000
0.500 0.500 0.500


[5]
GGA-PBE PrNd3Os, optimized geometry; E_tot = -6.131 eV/atom; formation enthalpy at 0 K = -0.07 eV per atom; symmetry = C2/m (12); total moment = 0.0 μB per cell; distance to the lowest polymorph of the same formula = 0 meV/atom; mass density = 7.662 Mg/m³
1.0
6.977 -0.132 -2.905
-3.487 6.267 -2.386
0.110 0.101 7.543
Os Nd Pr
2 6 2
direct
0.371 0.251 0.622
0.629 0.749 0.378
0.702 0.447 0.150
0.298 0.553 0.850
0.245 0.449 0.298
0.151 0.948 0.702
0.849 0.052 0.298
0.755 0.551 0.702
0.296 0.947 0.242
0.704 0.053 0.758


[6]
GGA-PBE ZrAsO5, optimized geometry; formation energy from raw total energies = -1.83 eV/atom; E_tot = -7.259 eV/atom; symmetry = C2/c (15); total moment = 2.1 μB per cell; mass density = 3.601 Mg/m³
1.0
5.267 -0.050 -1.893
-0.862 5.196 -1.893
0.179 0.209 8.153
O Zr As
10 2 2
direct
0.245 0.246 0.573
0.746 0.745 0.073
0.570 0.930 0.750
0.430 0.070 0.250
0.193 0.706 0.332
0.755 0.754 0.427
0.206 0.693 0.832
0.254 0.255 0.927
0.794 0.307 0.168
0.807 0.294 0.668
0.500 0.000 0.000
0.500 0.000 0.500
0.865 0.635 0.250
0.135 0.365 0.750


[7]
GGA-PBE CaSc3Cl, optimized geometry; formation energy from raw total energies = -0.28 eV/atom; E_tot = -4.850 eV/atom; symmetry = Pm-3m (221); total moment = 0.0 μB per cell; distance to the lowest polymorph of the same formula = 0 meV/atom; mass density = 2.768 Mg/m³
1.0
5.016 0.000 0.000
0.000 5.016 0.000
0.000 0.000 5.016
Sc Ca Cl
3 1 1
direct
0.000 0.000 0.500
0.500 0.000 0.000
0.000 0.500 0.000
0.500 0.500 0.500
0.000 0.000 0.000


[8]
GGA-PBE TaSbTe2, optimized geometry; formation energy from raw total energies = 0.59 eV/atom; E_tot = -4.975 eV/atom; symmetry = Pmmm (47); total moment = 0.0 μB per cell; mass density = 9.672 Mg/m³
1.0
3.490 0.000 0.000
0.000 5.472 0.000
0.000 0.000 5.016
Sb Te Ta
1 2 1
direct
0.500 0.000 0.500
0.500 0.500 0.000
0.000 0.000 0.000
0.000 0.500 0.500


- Which value of E_tot does entry 1 give?
  -4.750 eV/atom